# 1
First-principles (PBE) data for crystalline In12Te5Au3 at its relaxed geometry, as listed in the Alexandria database.

Lattice parameters (Å, degrees): 15.0386 15.0386 15.0386 109.47 109.47 109.47
Fractional positions:
1 In 0.5627 0.9252 0.6670
2 In 0.4373 0.0748 0.3330
3 In 0.8625 0.2582 0.4252
4 In 0.1375 0.7418 0.5748
5 In 0.2582 0.8625 0.9252
6 In 0.2582 0.3957 0.8330
7 In 0.6043 0.8625 0.4373
8 In 0.5627 0.6375 0.3957
9 In 0.2418 0.5748 0.6375
10 In 0.5748 0.3330 0.9373
11 In 0.3957 0.1375 0.5627
12 In 0.0627 0.8957 0.1375
13 In 0.1670 0.0627 0.9252
14 In 0.9252 0.3625 0.2582
15 In 0.4252 0.7582 0.8625
16 In 0.1375 0.3957 0.0627
17 In 0.8957 0.0627 0.6375
18 In 0.8625 0.6043 0.9373
19 In 0.3957 0.2582 0.3330
20 In 0.2418 0.6670 0.1043
21 In 0.6375 0.0748 0.2418
22 In 0.4252 0.6670 0.0627
23 In 0.4373 0.3625 0.6043
24 In 0.3330 0.5748 0.4373
25 In 0.0627 0.1670 0.4252
26 In 0.7418 0.1375 0.0748
27 In 0.3625 0.9252 0.7582
28 In 0.0748 0.4373 0.8330
29 In 0.1043 0.1670 0.2418
30 In 0.1043 0.9373 0.3625
31 In 0.8330 0.8957 0.2582
32 In 0.9373 0.1043 0.8625
33 In 0.1670 0.1043 0.7418
34 In 0.6670 0.2418 0.6043
35 In 0.6043 0.7418 0.6670
36 In 0.7582 0.3330 0.8957
37 In 0.8330 0.9373 0.0748
38 In 0.7418 0.6043 0.1670
39 In 0.3625 0.4373 0.1043
40 In 0.5748 0.2418 0.1375
41 In 0.9373 0.8330 0.5748
42 In 0.0748 0.6375 0.7418
43 In 0.6670 0.4252 0.5627
44 In 0.3330 0.7582 0.3957
45 In 0.7582 0.4252 0.3625
46 In 0.6375 0.5627 0.8957
47 In 0.8957 0.8330 0.7582
48 In 0.9252 0.5627 0.1670
49 Te 0.0000 0.0000 0.5000
50 Te 0.2500 0.8750 0.1250
51 Te 0.1250 0.3750 0.2500
52 Te 0.2500 0.3750 0.6250
53 Te 0.0000 0.5000 0.0000
54 Te 0.8750 0.6250 0.7500
55 Te 0.0000 0.5000 0.5000
56 Te 0.5000 0.0000 0.5000
57 Te 0.8750 0.2500 0.6250
58 Te 0.6250 0.7500 0.8750
59 Te 0.7500 0.1250 0.8750
60 Te 0.0000 0.0000 0.0000
61 Te 0.3750 0.2500 0.1250
62 Te 0.1250 0.7500 0.3750
63 Te 0.5000 0.5000 0.0000
64 Te 0.5000 0.5000 0.5000
65 Te 0.7500 0.6250 0.3750
66 Te 0.3750 0.1250 0.7500
67 Te 0.6250 0.8750 0.2500
68 Te 0.5000 0.0000 0.0000
69 Au 0.8750 0.7500 0.1250
70 Au 0.1250 0.8750 0.7500
71 Au 0.3750 0.7500 0.6250
72 Au 0.6250 0.2500 0.3750
73 Au 0.2500 0.6250 0.8750
74 Au 0.2500 0.1250 0.3750
75 Au 0.7500 0.3750 0.1250
76 Au 0.7500 0.8750 0.6250
77 Au 0.1250 0.2500 0.8750
78 Au 0.3750 0.6250 0.2500
79 Au 0.8750 0.1250 0.2500
80 Au 0.6250 0.3750 0.7500

Summary:
- raw total energy (eV per atom) = -2.994
- symmetry = Ia-3d
- spin magnetization (Bohr magnetons per cell) = 0.00
- crystal system = cubic
- E_form (uncorrected) (eV per atom) = -0.074

***

# 2
First-principles (PBE) data for crystalline SiTcPt2 at its relaxed geometry, as listed in the Alexandria database.

Lattice parameters (Å, degrees): 2.7833 3.9563 5.3550 90.00 90.00 90.00
Fractional positions:
1 Pt 0.0000 0.0000 0.5014
2 Pt 0.0000 0.0000 0.9986
3 Si 0.5000 0.5000 0.2500
4 Tc 0.5000 0.5000 0.7500

Summary:
- raw total energy (eV per atom) = -7.105
- symmetry = Pmmm
- spin magnetization (Bohr magnetons per cell) = 0.00
- crystal system = orthorhombic
- E_form (uncorrected) (eV per atom) = -0.138

***

# 3
First-principles (PBE) data for crystalline CaCeCl5 at its relaxed geometry, as listed in the Alexandria database.

Lattice parameters (Å, degrees): 7.3054 7.3054 10.8701 105.31 106.79 100.21
Last column: magnetic moment on the atom in μB.
Fractional positions:
1 Ca 0.3450 0.0950 0.7500  0.00
2 Ca 0.6550 0.9050 0.2500  0.00
3 Cl 0.0380 0.7880 0.7500  -0.01
4 Cl 0.7374 0.1578 0.8556  -0.01
5 Cl 0.3023 0.3818 0.6444  -0.01
6 Cl 0.6921 0.7361 0.0079  -0.01
7 Cl 0.2718 0.8158 0.5079  -0.01
8 Cl 0.3079 0.2639 0.9921  -0.01
9 Cl 0.7282 0.1842 0.4921  -0.01
10 Cl 0.2626 0.8422 0.1444  -0.01
11 Cl 0.6977 0.6182 0.3556  -0.01
12 Cl 0.9620 0.2120 0.2500  -0.01
13 Ce 0.0000 0.0000 0.0000  0.98
14 Ce 0.0000 0.5000 0.5000  0.98

Summary:
- raw total energy (eV per atom) = -4.671
- symmetry = C2/c
- spin magnetization (Bohr magnetons per cell) = 2.00
- crystal system = monoclinic
- E_form (uncorrected) (eV per atom) = -2.218

***

# 4
First-principles (PBE) data for crystalline Mg2PbCl at its relaxed geometry, as listed in the Alexandria database.

Lattice parameters (Å, degrees): 6.4471 6.4471 7.6597 65.11 65.11 90.00
Fractional positions:
1 Mg 0.5972 0.1250 0.2500
2 Mg 0.8750 0.8472 0.7500
3 Mg 0.3750 0.4028 0.7500
4 Mg 0.1528 0.6250 0.2500
5 Cl 0.2500 0.7500 0.5000
6 Cl 0.5000 0.5000 0.0000
7 Pb 0.7500 0.2500 0.5000
8 Pb 0.0000 0.0000 0.0000

Summary:
- raw total energy (eV per atom) = -2.530
- symmetry = I-42d
- spin magnetization (Bohr magnetons per cell) = 0.00
- excess energy over the best structure of this formula in the dataset (eV per formula unit) = 0.86
- crystal system = tetragonal
- E_form (uncorrected) (eV per atom) = -0.344

***

# 5
First-principles (PBE) data for crystalline PaTlPt2O6 at its relaxed geometry, as listed in the Alexandria database.

Lattice parameters (Å, degrees): 6.1162 6.1162 6.8945 63.67 63.67 60.00
Last column: magnetic moment on the atom in μB.
Fractional positions:
1 O 0.5030 0.3138 0.2913  0.06
2 O 0.6862 0.1082 0.7087  0.06
3 O 0.3138 0.8918 0.2913  0.06
4 O 0.1082 0.4970 0.7087  0.06
5 O 0.4970 0.6862 0.7087  0.06
6 O 0.8918 0.5030 0.2913  0.06
7 Pa 0.5000 0.5000 0.5000  0.21
8 Pt 0.2359 0.2359 0.2924  0.42
9 Pt 0.7641 0.7641 0.7076  0.42
10 Tl 0.0000 0.0000 0.0000  0.00

Summary:
- raw total energy (eV per atom) = -6.539
- symmetry = R-3
- spin magnetization (Bohr magnetons per cell) = 1.60
- crystal system = trigonal
- E_form (uncorrected) (eV per atom) = -1.170

***

# 6
First-principles (PBE) data for crystalline Ca2Ni4Ge3Pt at its relaxed geometry, as listed in the Alexandria database.

Lattice parameters (Å, degrees): 4.0894 4.0894 9.9837 90.00 90.00 90.00
Fractional positions:
1 Ge 0.0000 0.0000 0.5000
2 Ge 0.0000 0.5000 0.1230
3 Ge 0.5000 0.0000 0.8770
4 Ni 0.5000 0.0000 0.6422
5 Ni 0.0000 0.0000 0.0000
6 Ni 0.5000 0.5000 0.0000
7 Ni 0.0000 0.5000 0.3578
8 Pt 0.5000 0.5000 0.5000
9 Ca 0.0000 0.5000 0.7505
10 Ca 0.5000 0.0000 0.2495

Summary:
- raw total energy (eV per atom) = -5.205
- symmetry = P-4m2
- E_form (eV per atom) = -0.503
- spin magnetization (Bohr magnetons per cell) = 0.00
- crystal system = tetragonal

***

# 7
First-principles (PBE) data for crystalline AlInS2 at its relaxed geometry, as listed in the Alexandria database.

Lattice parameters (Å, degrees): 6.1421 6.7227 5.8706 90.00 118.56 87.13
Fractional positions:
1 Al 0.0496 0.3948 0.9035
2 Al 0.0496 0.3948 0.3981
3 In 0.5858 0.9558 0.4203
4 In 0.5145 0.8329 0.8847
5 S 0.7303 0.4356 0.9911
6 S 0.3688 0.3539 0.3104
7 S 0.0290 0.1397 0.6405
8 S 0.0703 0.6501 0.6612

Summary:
- raw total energy (eV per atom) = -4.489
- symmetry = C2
- spin magnetization (Bohr magnetons per cell) = 0.00
- crystal system = monoclinic
- E_form (uncorrected) (eV per atom) = -0.805

***

# 8
First-principles (PBE) data for crystalline Zr2ZnAs at its relaxed geometry, as listed in the Alexandria database.

Lattice parameters (Å, degrees): 4.8031 4.8031 3.3391 90.00 90.00 102.31
Fractional positions:
1 As 0.5000 0.0000 0.5000
2 Zr 0.5000 0.5000 0.0000
3 Zr 0.0000 0.0000 0.0000
4 Zn 0.0000 0.5000 0.5000

Summary:
- raw total energy (eV per atom) = -6.256
- symmetry = Cmmm
- E_form (eV per atom) = -0.501
- spin magnetization (Bohr magnetons per cell) = 0.00
- crystal system = orthorhombic